(1)
The following is a PBE-GGA calculation of a geometry-optimized In3PRh structure, from Alexandria via LeMat-Bulk.

Calculated values
The calculated volume is 129.5 Å³ per cell. The calculation puts the formation energy at 0.756 eV/atom. For the final energy, the calculation gives -3.44 eV/atom.

Lattice parameters (Å, degrees): 5.0590 5.0590 5.0590 90.00 90.00 90.00
Element x y z (fractional)
In1 0.0000 0.0000 0.5000
In2 0.0000 0.5000 0.0000
In3 0.5000 0.0000 0.0000
P1 0.0000 0.0000 0.0000
Rh1 0.5000 0.5000 0.5000

***

(2)
The following is a PBE-GGA calculation of a geometry-optimized Tb3Sm5Sc2 structure, from Alexandria via LeMat-Bulk.

Calculated values
The calculated volume is 643.4 Å³ per cell. The calculation puts the formation energy at 0.190 eV/atom. For the final energy, the calculation gives -4.82 eV/atom.

Lattice parameters (Å, degrees): 9.4442 9.4442 9.3908 108.76 108.76 111.04
Element x y z (fractional)
Tb1 0.0288 0.2824 0.0499
Tb2 0.2189 0.7811 0.7500
Tb3 0.2824 0.0288 0.5499
Tb4 0.7176 0.9712 0.4501
Tb5 0.7811 0.2189 0.2500
Tb6 0.9712 0.7176 0.9501
Sm1 0.0231 0.9769 0.7500
Sm2 0.1029 0.3795 0.7252
Sm3 0.2812 0.7188 0.2500
Sm4 0.3795 0.1029 0.2252
Sm5 0.4842 0.5158 0.2500
Sm6 0.5158 0.4842 0.7500
Sm7 0.6205 0.8971 0.7748
Sm8 0.7188 0.2812 0.7500
Sm9 0.8971 0.6205 0.2748
Sm10 0.9769 0.0231 0.2500
Sc1 0.2228 0.4914 0.4527
Sc2 0.4914 0.2228 0.9527
Sc3 0.5086 0.7772 0.0473
Sc4 0.7772 0.5086 0.5473

***

(3)
The following is a PBE-GGA calculation of a geometry-optimized AcNdCu2 structure, from Alexandria via LeMat-Bulk.

Calculated values
The calculated volume is 337.8 Å³ per cell. The calculation puts the formation energy at 0.049 eV/atom. For the final energy, the calculation gives -4.22 eV/atom.

Lattice parameters (Å, degrees): 4.1132 4.1132 23.0534 90.00 90.00 120.00
Element x y z (fractional)
Ac1 0.0000 0.0000 0.0000
Ac2 0.3333 0.6667 0.6667
Ac3 0.6667 0.3333 0.3333
Nd1 0.0000 0.0000 0.5000
Nd2 0.3333 0.6667 0.1667
Nd3 0.6667 0.3333 0.8333
Cu1 0.0000 0.0000 0.2451
Cu2 0.0000 0.0000 0.7549
Cu3 0.3333 0.6667 0.4216
Cu4 0.3333 0.6667 0.9118
Cu5 0.6667 0.3333 0.0882
Cu6 0.6667 0.3333 0.5784

***

(4)
The following is a PBE-GGA calculation of a geometry-optimized Ni4SbAs structure, from Alexandria via LeMat-Bulk.

Calculated values
The calculated volume is 165.9 Å³ per cell. The formation energy without anion corrections is -86 meV per atom. For the final energy, the calculation gives -5.40 eV/atom.

Lattice parameters (Å, degrees): 5.6340 5.6340 5.8796 100.96 100.96 109.68
Element x y z (fractional)
Ni1 0.0860 0.7011 0.8984
Ni2 0.1745 0.4100 0.5717
Ni3 0.2989 0.9140 0.6016
Ni4 0.4100 0.1745 0.0717
Ni5 0.5900 0.8255 0.9283
Ni6 0.7011 0.0860 0.3984
Ni7 0.8255 0.5900 0.4283
Ni8 0.9140 0.2989 0.1016
Sb1 0.3838 0.6162 0.2500
Sb2 0.6162 0.3838 0.7500
As1 0.0344 0.9656 0.2500
As2 0.9656 0.0344 0.7500

***

(5)
The following is a PBE-GGA calculation of a geometry-optimized MnBr structure, from Alexandria via LeMat-Bulk.

Calculated values
The calculated volume is 261.7 Å³ per cell. The formation energy without anion corrections is 241 meV per atom. For the final energy, the calculation gives -5.18 eV/atom.

Lattice parameters (Å, degrees): 3.4188 11.5322 6.6372 90.00 90.00 90.00
Element x y z (fractional)
Mn1 0.2500 0.0487 0.0395
Mn2 0.2500 0.4513 0.0395
Mn3 0.2500 0.7500 0.4303
Mn4 0.7500 0.2500 0.5697
Mn5 0.7500 0.5487 0.9605
Mn6 0.7500 0.9513 0.9605
Br1 0.2500 0.2500 0.8709
Br2 0.2500 0.5871 0.6861
Br3 0.2500 0.9129 0.6861
Br4 0.7500 0.0871 0.3139
Br5 0.7500 0.4129 0.3139
Br6 0.7500 0.7500 0.1291

***

(6)
The following is a PBE-GGA calculation of a geometry-optimized MnBe2Zn structure, from Alexandria via LeMat-Bulk.

Calculated values
The calculated volume is 40.7 Å³ per cell. The calculation puts the formation energy at -0.026 eV/atom. For the final energy, the calculation gives -4.50 eV/atom.

Lattice parameters (Å, degrees): 3.5677 3.5677 3.1952 90.00 90.00 90.00
Element x y z (fractional)
Mn1 0.0000 0.0000 0.0000
Be1 0.0000 0.5000 0.5000
Be2 0.5000 0.0000 0.5000
Zn1 0.5000 0.5000 0.0000